1.
VASP calculation (GGA-PBE) on crystalline La3NdEr8 at its relaxed geometry.

- Volume: 35.23 Å³ per atom
- Formation energy from the elements: 0.27 eV per atom
- Space-group type: Immm, No. 71

a b c (Å): 8.7217 8.7217 8.7217
angles (deg): 97.90 136.72 97.73
Fractional coordinates of all 12 atoms:
La (0.0000, 0.5000, 0.5000)
Nd (0.0000, 0.0000, 0.0000)
Er (0.5013, 0.7519, 0.7492)
La (0.5000, 0.2495, 0.7495)
Er (0.8258, 0.5757, 0.7508)
Er (0.0027, 0.7521, 0.2508)
Er (0.8249, 0.0750, 0.2492)
Er (0.1742, 0.9250, 0.7500)
Er (0.4987, 0.2479, 0.2506)
La (0.5000, 0.7505, 0.2505)
Er (0.1751, 0.4243, 0.2500)
Er (0.9973, 0.2481, 0.7494)

2.
VASP calculation (GGA-PBE) on crystalline La6Nd12Er at its relaxed geometry.

- E above lowest polymorph: 0.160 eV per atom
- Volume: 36.58 Å³ per atom
- Formation energy from the elements: 0.27 eV per atom
- Space-group type: R-3m, No. 166

a b c (Å): 10.0723 10.0723 10.0723
angles (deg): 112.22 112.22 112.22
Fractional coordinates of all 19 atoms:
Nd (0.8783, 0.1217, 0.5000)
La (0.2661, 0.5205, 0.2661)
Nd (0.2687, 0.9080, 0.2687)
Nd (0.0920, 0.7313, 0.7313)
Nd (0.5000, 0.8783, 0.1217)
La (0.4795, 0.7339, 0.7339)
Nd (0.8783, 0.5000, 0.1217)
La (0.7339, 0.4795, 0.7339)
Nd (0.7313, 0.7313, 0.0920)
La (0.5205, 0.2661, 0.2661)
Er (0.0000, 0.0000, 0.0000)
Nd (0.1217, 0.8783, 0.5000)
Nd (0.5000, 0.1217, 0.8783)
Nd (0.9080, 0.2687, 0.2687)
La (0.7339, 0.7339, 0.4795)
Nd (0.1217, 0.5000, 0.8783)
Nd (0.7313, 0.0920, 0.7313)
Nd (0.2687, 0.2687, 0.9080)
La (0.2661, 0.2661, 0.5205)

Question: What is the formation energy from the elements in the second record?
Answer: 0.27 eV per atom